<P>
Here is a relaxed structure of LaS from the Alexandria database. Energies are from GGA-PBE.

Geometry as extended XYZ:
```
8
Lattice="-4.8914 4.8914 2.9025 4.8914 -4.8914 2.9025 4.8914 4.8914 -2.9025" Properties=species:S:1:pos:R:3 pbc="T T T"
La 6.3106 1.4192 0.0000
La 1.4192 3.4722 0.0000
La 3.4722 1.4192 2.9025
La -1.4192 3.4722 2.9025
S 3.4320 1.4594 0.0000
S 3.4320 -1.4594 2.9025
S 1.4594 6.3508 0.0000
S 1.4594 3.4320 2.9025
```

Calculated values
The magnetization is 0.00 μB per formula unit. The mass density comes out at 4.09 g cm⁻³.

<Q>
Here is a relaxed structure of LaS from the Alexandria database. Energies are from GGA-PBE.

Geometry as extended XYZ:
```
2
Lattice="3.5744 0.0000 0.0000 0.0000 3.5744 0.0000 0.0000 0.0000 3.5744" Properties=species:S:1:pos:R:3 pbc="T T T"
La 0.0000 0.0000 0.0000
S 1.7872 1.7872 1.7872
```

Calculated values
The magnetization is 0.00 μB per formula unit. The mass density comes out at 6.22 g cm⁻³.

<R>
Here is a relaxed structure of LaS from the Alexandria database. Energies are from GGA-PBE.

Geometry as extended XYZ:
```
8
Lattice="-5.8505 5.8505 2.2274 5.8505 -5.8505 2.2274 5.8505 5.8505 -2.2274" Properties=species:S:1:pos:R:3 pbc="T T T"
La 7.9666 1.3253 0.0000
La 1.3253 3.7344 0.0000
La 4.5253 2.1161 2.2274
La -2.1161 4.5253 2.2274
S 2.8980 1.3716 0.0000
S 4.4789 -2.9525 2.2274
S 1.3716 8.8031 0.0000
S 2.9525 4.4789 2.2274
```

Calculated values
The magnetization is 0.00 μB per formula unit. The mass density comes out at 3.72 g cm⁻³.

<S>
Here is a relaxed structure of LaS from the Alexandria database. Energies are from GGA-PBE.

Geometry as extended XYZ:
```
12
Lattice="4.6707 0.0000 0.0000 0.0000 13.7622 0.0000 0.0000 0.0000 6.5121" Properties=species:S:1:pos:R:3 pbc="T T T"
La 1.1677 0.9536 1.5449
La 1.1677 5.9275 1.5449
La 1.1677 10.3216 1.9995
La 3.5030 3.4406 4.5125
La 3.5030 7.8347 4.9672
La 3.5030 12.8086 4.9672
S 1.1677 3.4406 2.9905
S 1.1677 8.3404 6.5073
S 1.1677 12.3029 6.5073
S 3.5030 1.4593 0.0048
S 3.5030 5.4218 0.0048
S 3.5030 10.3216 3.5215
```

Calculated values
The magnetization is 0.00 μB per formula unit. The mass density comes out at 4.07 g cm⁻³.

Preferred: <P>; penalty for the next structure: 20 meV per atom.